Record 1
CeGa2Cu (GGA-PBE, relaxed); space-group type = Cmmm, No. 65; Fermi-level density of states = 12.40 states/eV/cell; total DFT energy (no corrections) = -35.8 eV for the cell shown
1.0
2.109 -8.919 0.000
2.109 8.919 0.000
0.000 0.000 4.148
Ce Ga Cu
2 4 2
direct
0.144 0.856 0.000
0.856 0.144 0.000
0.000 0.000 0.500
0.287 0.713 0.500
0.500 0.500 0.000
0.713 0.287 0.500
0.422 0.578 0.500
0.578 0.422 0.500

=====

Record 2
Ce2GaCu3 (GGA-PBE, relaxed); space-group type = Imm2, No. 44; Fermi-level density of states = 11.56 states/eV/cell; total DFT energy (no corrections) = -28.5 eV for the cell shown
1.0
-1.842 2.110 7.791
1.842 -2.110 7.791
1.842 2.110 -7.791
Ce Ga Cu
2 1 3
direct
0.000 0.000 0.000
0.757 0.257 0.500
0.591 0.591 0.000
0.170 0.670 0.500
0.329 0.829 0.500
0.428 0.428 0.000